Li2MgFeF6: relaxed, PBE with a Hubbard U.

Summary:
total magnetization	4.0	μB per formula unit
E_tot	-51.983	eV/cell

Geometry as POSCAR:
```
Li2MgFeF6
1.0
5.159 -0.014 0.048
2.568 4.471 0.046
2.618 1.509 4.722
F Li Mg Fe
6 2 1 1
direct
0.910 0.616 0.265
0.221 0.913 0.266
0.094 0.426 0.754
0.422 0.719 0.764
0.726 0.096 0.751
0.613 0.213 0.267
0.016 0.028 0.924
0.525 0.517 0.430
0.819 0.818 0.545
0.317 0.316 0.050
```